Entry from Alexandria via LeMat-Bulk: a relaxed Ba2HgBPb crystal (PBE-GGA).

abc: 6.016 6.016 4.788
angles: 90.00 90.00 90.00
Atoms (fractional coordinates):
Ba 0.000 0.500 0.000
Ba 0.500 0.000 0.000
Hg 0.000 0.000 0.500
B 0.500 0.500 0.000
Pb 0.500 0.500 0.500

Values from the calculation:
E_form, eV per formula unit: 0.34